No. 1
Material: Rb2PuCuTe4
Method: DFT, PBE
State: optimized geometry

Results
**N(E_F)**: 2.024 states/eV/atom
**Uncorrected formation energy**: -4.532 eV/f.u.
**Calculated total energy**: -4.683 eV per atom

a = 7.661 Å, b = 7.265 Å, c = 7.265 Å
α = 73.86°, β = 58.18°, γ = 58.18°
Each line ends with the local moment (μB).
Atoms (fractional coordinates):
Rb 0.000 0.500 0.500  -0.01
Rb 0.500 0.500 0.500  -0.01
Pu 0.000 0.000 0.000  5.03
Cu 0.500 0.000 0.000  -0.18
Te 0.119 0.331 0.000  -0.18
Te 0.881 0.000 0.669  -0.18
Te 0.550 0.000 0.331  -0.18
Te 0.450 0.669 0.000  -0.18

***

No. 2
Material: TbPm2Zn
Method: DFT, PBE
State: optimized geometry

Results
**N(E_F)**: 1.126 states/eV/atom
**Calculated total energy**: -3.604 eV per atom
**Energy of formation**: 247 meV/atom
**E above lowest polymorph**: 394 meV/atom

a = 3.507 Å, b = 3.507 Å, c = 12.190 Å
α = 81.73°, β = 81.73°, γ = 60.00°
Atoms (fractional coordinates):
Zn 0.000 0.000 0.000
Tb 0.500 0.500 0.500
Pm 0.087 0.087 0.740
Pm 0.913 0.913 0.260

***

No. 3
Material: MgTcP2
Method: DFT, PBE
State: optimized geometry

Results
**N(E_F)**: 0.388 states/eV/atom
**Calculated total energy**: -5.895 eV per atom
**Energy of formation**: -200 meV/atom

a = 4.510 Å, b = 3.205 Å, c = 4.603 Å
α = 69.54°, β = 90.00°, γ = 90.00°
Atoms (fractional coordinates):
Mg 0.500 0.704 0.714
P 0.000 0.041 0.045
P 0.500 0.431 0.265
Tc 0.000 0.325 0.476

***

No. 4
Material: NaVSe2Br
Method: DFT, PBE
State: optimized geometry

Results
**N(E_F)**: 1.639 states/eV/atom
**Uncorrected formation energy**: 2.935 eV/f.u.
**Calculated total energy**: -3.229 eV per atom
**E above lowest polymorph**: 1225 meV/atom

a = 5.099 Å, b = 5.099 Å, c = 5.241 Å
α = 90.00°, β = 90.00°, γ = 90.00°
Each line ends with the local moment (μB).
Atoms (fractional coordinates):
Na 0.000 0.000 0.000  0.00
Se 0.000 0.500 0.000  -0.40
Se 0.500 0.000 0.000  -0.40
Br 0.000 0.000 0.500  -0.19
V 0.500 0.500 0.500  2.97

***

No. 5
Material: CeFe2Si2
Method: DFT, PBE
State: optimized geometry

Results
**N(E_F)**: 1.124 states/eV/atom
**Uncorrected formation energy**: -3.283 eV/f.u.
**Calculated total energy**: -7.398 eV per atom

a = 5.529 Å, b = 5.529 Å, c = 5.529 Å
α = 137.51°, β = 137.51°, γ = 61.65°
Atoms (fractional coordinates):
Ce 0.000 0.000 0.000
Fe 0.750 0.250 0.500
Fe 0.250 0.750 0.500
Si 0.636 0.636 0.000
Si 0.364 0.364 0.000

***

No. 6
Material: Li2Nd2DyIn2
Method: DFT, PBE
State: optimized geometry

Results
**N(E_F)**: 0.867 states/eV/atom
**Calculated total energy**: -3.590 eV per atom
**Energy of formation**: -241 meV/atom

a = 4.897 Å, b = 4.897 Å, c = 9.376 Å
α = 74.86°, β = 74.86°, γ = 60.00°
Atoms (fractional coordinates):
Li 0.610 0.610 0.171
Li 0.390 0.390 0.829
Nd 0.127 0.127 0.618
Nd 0.873 0.873 0.382
Dy 0.000 0.000 0.000
In 0.734 0.734 0.798
In 0.266 0.266 0.202

***

No. 7
Material: TlInMo2
Method: DFT, PBE
State: optimized geometry

Results
**N(E_F)**: 0.460 states/eV/atom
**Calculated total energy**: -6.309 eV per atom
**Energy of formation**: 382 meV/atom
**E above lowest polymorph**: 56 meV/atom

a = 9.663 Å, b = 9.663 Å, c = 9.663 Å
α = 19.16°, β = 19.16°, γ = 19.16°
Atoms (fractional coordinates):
In 0.742 0.742 0.742
Mo 0.989 0.989 0.989
Mo 0.264 0.264 0.264
Tl 0.506 0.506 0.506

***

No. 8
Material: PmNdGa3
Method: DFT, PBE
State: optimized geometry

Results
**N(E_F)**: 0.690 states/eV/atom
**Calculated total energy**: -4.377 eV per atom
**Energy of formation**: -657 meV/atom
**E above lowest polymorph**: 0 meV/atom

a = 4.242 Å, b = 4.349 Å, c = 13.258 Å
α = 99.44°, β = 90.00°, γ = 90.00°
Atoms (fractional coordinates):
Pm 0.250 0.797 0.594
Pm 0.750 0.203 0.406
Nd 0.250 0.072 0.144
Nd 0.750 0.928 0.856
Ga 0.250 0.382 0.763
Ga 0.750 0.618 0.237
Ga 0.250 0.476 0.953
Ga 0.750 0.524 0.047
Ga 0.750 0.327 0.653
Ga 0.250 0.673 0.347

***

No. 9
Material: Cd2AgMo
Method: DFT, PBE
State: optimized geometry

Results
**N(E_F)**: 0.761 states/eV/atom
**Calculated total energy**: -3.067 eV per atom
**Energy of formation**: 811 meV/atom
**E above lowest polymorph**: 581 meV/atom

a = 7.669 Å, b = 7.669 Å, c = 6.148 Å
α = 51.42°, β = 51.42°, γ = 90.00°
Each line ends with the local moment (μB).
Atoms (fractional coordinates):
Mo 0.500 0.500 0.000  2.38
Mo 0.250 0.750 0.500  2.39
Ag 0.000 0.000 0.000  0.06
Ag 0.750 0.250 0.500  0.06
Cd 0.633 0.125 0.250  0.00
Cd 0.117 0.625 0.250  -0.01
Cd 0.375 0.367 0.750  0.00
Cd 0.875 0.883 0.750  0.00

***

No. 10
Material: Ce2Cu3AgGe4
Method: DFT, PBE
State: optimized geometry

Results
**N(E_F)**: 1.153 states/eV/atom
**Calculated total energy**: -4.986 eV per atom
**Energy of formation**: -439 meV/atom

a = 4.271 Å, b = 4.271 Å, c = 10.120 Å
α = 90.00°, β = 90.00°, γ = 90.00°
Each line ends with the local moment (μB).
Atoms (fractional coordinates):
Ce 0.500 0.000 0.244  0.49
Ce 0.000 0.500 0.756  0.49
Cu 0.000 0.000 0.500  -0.01
Cu 0.500 0.000 0.878  0.00
Cu 0.000 0.500 0.122  0.00
Ag 0.500 0.500 0.500  -0.01
Ge 0.500 0.500 0.000  0.00
Ge 0.000 0.000 0.000  0.00
Ge 0.500 0.000 0.644  -0.01
Ge 0.000 0.500 0.356  -0.01